A geometry-optimized PuCoO5 structure. Source: the Alexandria database, functional GGA+U.

Values from the calculation:
total DFT energy (no corrections) = -7.962 eV/atom

Geometry as CIF:
```
data_PuCoO5
_chemical_formula_sum 'Pu4 Co4 O20'
_cell_length_a 5.369
_cell_length_b 10.066
_cell_length_c 7.101
_cell_angle_alpha 90.00
_cell_angle_beta 108.65
_cell_angle_gamma 90.00
_symmetry_space_group_name_H-M 'P 1 21/c 1'
_symmetry_Int_Tables_number 14
loop_
_symmetry_equiv_pos_as_xyz
'x,y,z'
'-x,-y,-z'
'-x,y+1/2,-z+1/2'
'x,-y+1/2,z+1/2'
loop_
_atom_site_label
_atom_site_type_symbol
_atom_site_fract_x
_atom_site_fract_y
_atom_site_fract_z
Pu1 Pu 0.022 0.015 0.253
Co1 Co 0.400 0.247 0.602
O1 O 0.134 0.102 0.566
O2 O 0.145 0.101 0.010
O3 O 0.265 0.624 0.322
O4 O 0.315 0.590 0.817
O5 O 0.385 0.219 0.348
```